Below is an optimized crystal structure of HfZr2Ni2As4Pd2, with properties calculated at the PBE level.

Cell lengths 6.5084, 3.8674, 7.5845 Å; angles 90.00, 91.44, 90.00 degrees
Closest atoms and distances in Å follow each position.
Element x y z (fractional)
Hf1 0.0000 0.0000 0.0000  5 As 2.66-2.81, 3 Ni 2.91-2.97, 2 Pd 2.96
Zr1 0.4987 0.0000 0.1329  5 As 2.77-2.81, 3 Pd 2.97-3.01, 3 Ni 3.02-3.10
Zr2 0.5653 0.5000 0.5015  5 As 2.76-2.87, 3 Pd 2.93, 3 Ni 3.06-3.09
Ni1 0.1781 0.5000 0.2580  4 As 2.39-2.47
Ni2 0.8924 0.0000 0.3706  4 As 2.37-2.44
As1 0.2619 0.0000 0.4316  3 Ni 2.39-2.44, 1 Pd 2.54
As2 0.2714 0.5000 0.9440  1 Ni 2.47, 3 Pd 2.58-2.74, 2 Hf 2.66
As3 0.8027 0.5000 0.2044  3 Ni 2.37-2.47, 1 Pd 2.58
As4 0.8230 0.0000 0.6779  1 Ni 2.39, 2 Pd 2.63
Pd1 0.3970 0.0000 0.7487  4 As 2.54-2.84, 2 Pd 2.84
Pd2 0.6833 0.5000 0.8770  4 As 2.58-2.74, 2 Pd 2.84

Values from the calculation:
Crystal system: monoclinic
Symmetry: Pm (6)
V: 191 Å³ per cell
E above lowest polymorph: 0.012 eV/atom
Total DFT energy (no corrections): -76.01 eV for the cell shown